Entry 1:
Compound: PmCoSiIr
Source: Alexandria
Functional: PBE-GGA
Structure: relaxed

a = 4.039 Å, b = 4.060 Å, c = 5.484 Å
α = 111.72°, β = 111.61°, γ = 90.00°
Each line ends with the local moment (μB).
Element x y z (fractional)
Pm  0.966  0.966  0.932  -0.04
Co  0.595  0.595  0.190  0.68
Si  0.212  0.712  0.424  -0.03
Ir  0.342  0.342  0.684  0.10

Output
Raw total energy (eV/atom): -6.933
Formation energy without anion corrections (eV per atom): -0.40
Space-group type: No. 44
Spin magnetization (μB per formula unit): 0.66
Volume (Å³ per cell): 76.7
Crystal system: orthorhombic

***

Entry 2:
Compound: Si2TcSe
Source: Alexandria
Functional: PBE-GGA
Structure: relaxed

a = 4.760 Å, b = 4.760 Å, c = 4.760 Å
α = 130.97°, β = 130.97°, γ = 71.87°
Element x y z (fractional)
Se  0.750  0.250  0.500
Si  0.000  0.000  0.000
Si  0.500  0.500  0.000
Tc  0.250  0.750  0.500

Output
Raw total energy (eV/atom): -5.736
Formation energy without anion corrections (eV per atom): 0.44
Space-group type: No. 139
Spin magnetization (μB per formula unit): 0.00
Volume (Å³ per cell): 60.2
Crystal system: tetragonal

***

Entry 3:
Compound: RbFeSe2N
Source: Alexandria
Functional: PBE-GGA
Structure: relaxed

a = 6.019 Å, b = 6.019 Å, c = 5.028 Å
α = 90.00°, β = 90.00°, γ = 90.00°
Each line ends with the local moment (μB).
Element x y z (fractional)
N  0.000  0.000  0.500  1.77
Se  0.000  0.500  0.000  0.54
Se  0.500  0.000  0.000  0.54
Rb  0.000  0.000  0.000  0.12
Fe  0.500  0.500  0.500  3.40

Output
Raw total energy (eV/atom): -2.877
Formation energy without anion corrections (eV per atom): 2.07
Space-group type: No. 123
Spin magnetization (μB per formula unit): 8.13
Volume (Å³ per cell): 182.2
Crystal system: tetragonal

***

Entry 4:
Compound: LiCe2ErIn4
Source: Alexandria
Functional: PBE-GGA
Structure: relaxed

a = 5.276 Å, b = 5.276 Å, c = 9.294 Å
α = 73.51°, β = 73.51°, γ = 60.00°
Each line ends with the local moment (μB).
Element x y z (fractional)
Li  0.500  0.500  0.500  0.00
Ce  0.753  0.753  0.740  0.71
Ce  0.247  0.247  0.260  0.71
Er  0.000  0.000  0.000  0.00
In  0.377  0.377  0.870  0.01
In  0.874  0.874  0.379  0.01
In  0.126  0.126  0.621  0.01
In  0.623  0.623  0.130  0.01

Output
Raw total energy (eV/atom): -4.014
ΔE_f (meV/atom): -352
Space-group type: No. 166
Spin magnetization (μB per formula unit): 1.63
Volume (Å³ per cell): 211.7
Crystal system: trigonal

***

Entry 5:
Compound: Dy2Cd2BRh4
Source: Alexandria
Functional: PBE-GGA
Structure: relaxed

a = 6.040 Å, b = 6.040 Å, c = 6.040 Å
α = 91.41°, β = 119.19°, γ = 119.19°
Element x y z (fractional)
Dy  0.000  0.705  0.705
Dy  0.000  0.295  0.295
Cd  0.500  0.750  0.250
Cd  0.500  0.250  0.750
B  0.000  0.000  0.000
Rh  0.000  0.761  0.239
Rh  0.522  0.761  0.761
Rh  0.000  0.239  0.761
Rh  0.478  0.239  0.239

Output
Raw total energy (eV/atom): -5.705
ΔE_f (meV/atom): -470
Space-group type: No. 139
Spin magnetization (μB per formula unit): 0.00
Volume (Å³ per cell): 157.7
Crystal system: tetragonal

***

Entry 6:
Compound: LiZr2Br
Source: Alexandria
Functional: PBE-GGA
Structure: relaxed

a = 9.482 Å, b = 9.482 Å, c = 9.482 Å
α = 20.61°, β = 20.61°, γ = 20.61°
Element x y z (fractional)
Br  0.503  0.503  0.503
Li  0.756  0.756  0.756
Zr  0.996  0.996  0.996
Zr  0.244  0.244  0.244

Output
Raw total energy (eV/atom): -5.526
Formation energy without anion corrections (eV per atom): -0.36
Space-group type: No. 160
Spin magnetization (μB per formula unit): 0.00
Volume (Å³ per cell): 92.4
Crystal system: trigonal

***

Entry 7:
Compound: SmErAsP
Source: Alexandria
Functional: PBE-GGA
Structure: relaxed

a = 4.101 Å, b = 4.101 Å, c = 5.783 Å
α = 90.00°, β = 90.00°, γ = 90.00°
Element x y z (fractional)
Sm  0.000  0.892  0.592
Er  0.500  0.391  0.092
As  0.500  0.392  0.592
P  0.000  0.891  0.092

Output
Raw total energy (eV/atom): -6.365
ΔE_f (meV/atom): -1530
Space-group type: No. 123
Spin magnetization (μB per formula unit): 0.00
Volume (Å³ per cell): 97.3
Crystal system: tetragonal

***

Entry 8:
Compound: AlZnMo
Source: Alexandria
Functional: PBE-GGA
Structure: relaxed

a = 4.302 Å, b = 4.302 Å, c = 4.302 Å
α = 60.00°, β = 60.00°, γ = 60.00°
Each line ends with the local moment (μB).
Element x y z (fractional)
Mo  0.750  0.750  0.750  1.37
Zn  0.000  0.000  0.000  0.00
Al  0.500  0.500  0.500  -0.02

Output
Raw total energy (eV/atom): -4.627
ΔE_f (meV/atom): 655
Space-group type: No. 216
Spin magnetization (μB per formula unit): 1.49
Volume (Å³ per cell): 56.3
Crystal system: cubic

***

Entry 9:
Compound: Rb2CuOsRh
Source: Alexandria
Functional: PBE-GGA
Structure: relaxed

a = 6.167 Å, b = 4.733 Å, c = 6.167 Å
α = 90.00°, β = 90.00°, γ = 90.00°
Each line ends with the local moment (μB).
Element x y z (fractional)
Rh  0.500  0.500  0.500  1.28
Os  0.000  0.500  0.000  2.14
Cu  0.000  0.000  0.000  0.22
Rb  0.000  0.000  0.500  0.00
Rb  0.500  0.000  0.000  0.00

Output
Raw total energy (eV/atom): -3.146
ΔE_f (meV/atom): 1776
Space-group type: No. 123
Spin magnetization (μB per formula unit): 4.03
Volume (Å³ per cell): 180.0
Crystal system: tetragonal

***

Entry 10:
Compound: KTePI2
Source: Alexandria
Functional: PBE-GGA
Structure: relaxed

a = 5.725 Å, b = 5.725 Å, c = 5.386 Å
α = 90.00°, β = 90.00°, γ = 90.00°
Element x y z (fractional)
I  0.000  0.500  0.000
I  0.500  0.000  0.000
P  0.000  0.000  0.000
K  0.500  0.500  0.500
Te  0.000  0.000  0.500

Output
Raw total energy (eV/atom): -2.832
Formation energy without anion corrections (eV per atom): -0.28
Space-group type: No. 123
Spin magnetization (μB per formula unit): 0.00
Volume (Å³ per cell): 176.5
Crystal system: tetragonal

***

Entry 11:
Compound: Nd3SmF
Source: Alexandria
Functional: PBE-GGA
Structure: relaxed

a = 5.204 Å, b = 5.204 Å, c = 5.204 Å
α = 90.00°, β = 90.00°, γ = 90.00°
Element x y z (fractional)
Nd  0.000  0.500  0.000
Nd  0.000  0.000  0.500
Nd  0.500  0.000  0.000
Sm  0.500  0.500  0.500
F  0.000  0.000  0.000

Output
Raw total energy (eV/atom): -5.156
Formation energy without anion corrections (eV per atom): -0.98
Space-group type: No. 221
Spin magnetization (μB per formula unit): 0.00
Volume (Å³ per cell): 141.0
Crystal system: cubic

***

Entry 12:
Compound: Tc2Mo2P
Source: Alexandria
Functional: PBE-GGA
Structure: relaxed

a = 3.349 Å, b = 3.349 Å, c = 7.577 Å
α = 77.23°, β = 77.23°, γ = 90.00°
Element x y z (fractional)
P  0.000  0.000  0.000
Mo  0.407  0.407  0.186
Mo  0.593  0.593  0.814
Tc  0.750  0.250  0.500
Tc  0.250  0.750  0.500

Output
Raw total energy (eV/atom): -9.158
ΔE_f (meV/atom): 402
Space-group type: No. 139
Spin magnetization (μB per formula unit): 0.00
Volume (Å³ per cell): 80.7
Crystal system: tetragonal